#1
Here is a geometry-optimized Zr2TaRe structure from Alexandria. Energies are from PBE.

Structure (POSCAR):
```
Zr2TaRe
1.0
3.302 0.000 0.000
0.000 3.302 0.000
0.000 0.000 7.081
Zr Ta Re
2 1 1
Direct
0.000 0.000 0.230
0.000 0.000 0.770
0.500 0.500 0.500
0.500 0.500 0.000
```

Output
* N(E_F): 5.6 states/eV per cell
* theoretical density: 11.8 Mg/m³

---

#2
Here is a geometry-optimized Zr2TaRe structure from Alexandria. Energies are from PBE.

Structure (POSCAR):
```
Zr2TaRe
1.0
3.272 0.000 0.000
0.000 4.915 0.000
0.000 0.000 9.666
Zr Ta Re
4 2 2
Direct
0.000 0.000 0.000
0.000 0.500 0.292
0.500 0.000 0.292
0.500 0.500 0.000
0.000 0.500 0.738
0.500 0.000 0.738
0.000 0.000 0.525
0.500 0.500 0.525
```

Output
* N(E_F): 9.1 states/eV per cell
* theoretical density: 11.7 Mg/m³

---

Going by the energies, #1 is most stable and the next is 0.010 eV/atom up.

---

#1
Here is a geometry-optimized B5C7 structure from Alexandria. Energies are from PBE.

Structure (POSCAR):
```
B5C7
1.0
6.153 -1.256 0.000
6.153 1.256 0.000
-1.068 0.000 5.111
B C
5 7
Direct
0.000 0.000 0.000
0.006 0.006 0.563
0.255 0.255 0.426
0.601 0.601 0.098
0.903 0.903 0.272
0.254 0.254 0.920
0.325 0.325 0.195
0.333 0.333 0.719
0.601 0.601 0.605
0.663 0.663 0.394
0.677 0.677 0.878
0.903 0.903 0.753
```

Output
* N(E_F): 1.8 states/eV per cell
* theoretical density: 2.9 Mg/m³

---

#2
Here is a geometry-optimized B5C7 structure from Alexandria. Energies are from PBE.

Structure (POSCAR):
```
B5C7
1.0
4.749 0.000 0.000
0.000 2.567 0.000
-0.200 0.000 6.431
B C
5 7
Direct
0.000 0.000 0.000
0.053 0.000 0.708
0.504 0.500 0.988
0.820 0.500 0.701
0.881 0.500 0.402
0.190 0.500 0.085
0.209 0.500 0.322
0.364 0.000 0.645
0.372 0.000 0.403
0.506 0.500 0.735
0.681 0.000 0.321
0.689 0.000 0.093
```

Output
* N(E_F): 3.1 states/eV per cell
* theoretical density: 2.9 Mg/m³

---

Going by the energies, #1 is most stable and the next is 0.032 eV/atom up.

---

#1
Here is a geometry-optimized TaTl2Sb structure from Alexandria. Energies are from PBE.

Structure (POSCAR):
```
TaTl2Sb
1.0
3.049 0.000 0.000
0.000 5.138 0.000
0.000 0.000 13.991
Ta Tl Sb
2 4 2
Direct
0.000 0.000 0.000
0.500 0.500 0.500
0.000 0.000 0.518
0.000 0.500 0.699
0.500 0.000 0.199
0.500 0.500 0.018
0.000 0.500 0.327
0.500 0.000 0.827
```

Output
* N(E_F): 6.3 states/eV per cell
* theoretical density: 10.8 Mg/m³

---

#2
Here is a geometry-optimized TaTl2Sb structure from Alexandria. Energies are from PBE.

Structure (POSCAR):
```
TaTl2Sb
1.0
3.235 0.000 0.000
-1.618 2.802 0.000
0.000 0.000 32.470
Ta Tl Sb
3 6 3
Direct
0.000 0.000 0.000
0.333 0.667 0.667
0.667 0.333 0.333
0.000 0.000 0.256
0.000 0.000 0.744
0.333 0.667 0.410
0.333 0.667 0.923
0.667 0.333 0.077
0.667 0.333 0.590
0.000 0.000 0.500
0.333 0.667 0.167
0.667 0.333 0.833
```

Output
* N(E_F): 10.2 states/eV per cell
* theoretical density: 12.0 Mg/m³

---

Going by the energies, #1 is most stable and the next is 0.213 eV/atom up.

---

#1
Here is a geometry-optimized Cr2RuCl structure from Alexandria. Energies are from PBE.

Structure (POSCAR):
```
Cr2RuCl
1.0
2.951 0.000 0.000
0.000 4.874 0.000
0.000 0.000 8.171
Cr Ru Cl
4 2 2
Direct
0.000 0.000 0.000
0.000 0.500 0.227
0.500 0.000 0.227
0.500 0.500 0.000
0.000 0.000 0.462
0.500 0.500 0.462
0.000 0.500 0.768
0.500 0.000 0.768
```

Output
* N(E_F): 10.6 states/eV per cell
* theoretical density: 6.8 Mg/m³

---

#2
Here is a geometry-optimized Cr2RuCl structure from Alexandria. Energies are from PBE.

Structure (POSCAR):
```
Cr2RuCl
1.0
2.749 0.000 0.000
-1.374 2.381 0.000
0.000 0.000 26.947
Cr Ru Cl
6 3 3
Direct
0.000 0.000 0.000
0.000 0.000 0.254
0.333 0.667 0.667
0.333 0.667 0.921
0.667 0.333 0.333
0.667 0.333 0.588
0.000 0.000 0.516
0.333 0.667 0.183
0.667 0.333 0.850
0.000 0.000 0.727
0.333 0.667 0.394
0.667 0.333 0.061
```

Output
* N(E_F): 8.2 states/eV per cell
* theoretical density: 6.8 Mg/m³

---

Going by the energies, #2 is most stable and the next is 0.169 eV/atom up.

---

#1
Here is a geometry-optimized TcSb2As structure from Alexandria. Energies are from PBE.

Structure (POSCAR):
```
TcSb2As
1.0
4.585 0.000 0.000
0.000 4.900 0.000
0.000 0.000 8.248
Tc Sb As
2 4 2
Direct
0.000 0.000 0.000
0.000 0.500 0.500
0.000 0.000 0.368
0.000 0.500 0.868
0.500 0.000 0.797
0.500 0.500 0.297
0.500 0.000 0.135
0.500 0.500 0.635
```

Output
* N(E_F): 2.9 states/eV per cell
* theoretical density: 7.5 Mg/m³

---

#2
Here is a geometry-optimized TcSb2As structure from Alexandria. Energies are from PBE.

Structure (POSCAR):
```
TcSb2As
1.0
3.394 0.000 0.000
-1.697 2.939 0.000
0.000 0.000 25.462
Tc Sb As
3 6 3
Direct
0.000 0.000 0.000
0.333 0.667 0.667
0.667 0.333 0.333
0.000 0.000 0.259
0.000 0.000 0.741
0.333 0.667 0.408
0.333 0.667 0.926
0.667 0.333 0.074
0.667 0.333 0.592
0.000 0.000 0.500
0.333 0.667 0.167
0.667 0.333 0.833
```

Output
* N(E_F): 5.3 states/eV per cell
* theoretical density: 8.2 Mg/m³

---

Going by the energies, #1 is most stable and the next is 0.084 eV/atom up.

---

#1
Here is a geometry-optimized Cu2MoPt structure from Alexandria. Energies are from PBE.

Structure (POSCAR):
```
Cu2MoPt
1.0
2.694 0.000 0.000
0.000 4.594 0.000
0.000 0.000 4.666
Cu Mo Pt
2 1 1
Direct
0.000 0.000 0.000
0.500 0.000 0.500
0.000 0.500 0.500
0.500 0.500 0.000
```

Output
* N(E_F): 3.4 states/eV per cell
* theoretical density: 12.0 Mg/m³

---

#2
Here is a geometry-optimized Cu2MoPt structure from Alexandria. Energies are from PBE.

Structure (POSCAR):
```
Cu2MoPt
1.0
5.264 0.000 0.000
0.000 8.084 0.000
0.000 0.000 2.654
Cu Mo Pt
4 2 2
Direct
0.250 0.250 0.000
0.250 0.750 0.000
0.750 0.250 0.000
0.750 0.750 0.000
0.000 0.000 0.500
0.500 0.500 0.500
0.000 0.500 0.500
0.500 0.000 0.500
```

Output
* N(E_F): 8.3 states/eV per cell
* theoretical density: 12.3 Mg/m³

---

Going by the energies, #1 is most stable and the next is 0.039 eV/atom up.